Computed, not measured: a relaxed structure of Li3HgP at the PBE-GGA level of DFT.

Computed properties:
V: 18.2 Å³ per atom
density of states at the Fermi level: 0.14 states/eV per atom
E: -54.8 eV/cell
energy relative to the elements: -452 meV per atom
polymorph energy (0 for the lowest one): 0 meV/atom

Structure (CIF):
```
data_Li3HgP
_symmetry_space_group_name_H-M 'P n m a'
_symmetry_Int_Tables_number 62
_cell_length_a 7.435
_cell_length_b 9.074
_cell_length_c 5.382
_cell_angle_alpha 90.00
_cell_angle_beta 90.00
_cell_angle_gamma 90.00
loop_
_symmetry_equiv_pos_as_xyz
'x,y,z'
'-x,-y,-z'
'-x+1/2,-y,z+1/2'
'x+1/2,y,-z+1/2'
'x+1/2,-y+1/2,-z+1/2'
'-x+1/2,y+1/2,z+1/2'
'-x,y+1/2,-z'
'x,-y+1/2,z'
loop_
_atom_site_label
_atom_site_type_symbol
_atom_site_fract_x
_atom_site_fract_y
_atom_site_fract_z
Li1 Li 0.051 0.250 0.178
Li2 Li 0.176 0.502 0.599
Hg1 Hg 0.057 0.750 0.330
P1 P 0.000 0.000 0.000
```